[1]
Ac6Pt2RhS: relaxed, PBE.

The uncorrected formation energy comes out at -1008 meV/atom. The value obtained for the electronic total energy is -5.829 eV per atom.

It has space group R3 (No. 146, hexagonal axes), with a = 7.5484 Å, b = 7.5484 Å, c = 21.4585 Å, α = 90.00°, β = 90.00° and γ = 120.00°. The distinct sites, in fractional coordinates, are Ac at (0.0028, 0.6761, 0.0000), Ac at (0.0208, 0.3486, 0.1736), Pt at (0.0000, 0.0000, 0.4152), Pt at (0.0000, 0.0000, 0.9126), Rh at (0.0000, 0.0000, 0.5952) and S at (0.0000, 0.0000, 0.0933).

***

[2]
ReBiBRh: relaxed, PBE.

The formation energy comes out at 0.26 eV per atom. Its polymorph energy (0 for the lowest one) is 0.100 eV per atom. The value obtained for the electronic total energy is -7.328 eV per atom.

It has space group P1 (No. 1), with a = 2.993 Å, b = 3.063 Å, c = 7.438 Å, α = 100.77°, β = 90.23° and γ = 90.01°. The distinct sites, in fractional coordinates, are Re at (0.000, 0.000, 0.000), Bi at (0.007, 0.696, 0.358), B at (0.499, 0.460, 0.914) and Rh at (0.997, 0.366, 0.699).

***

Taking the records one at a time from the top gives total magnetization values of 0.00, 0.00 μB per formula unit.